(1)
Here is crystalline La4Dy2Mg at its relaxed geometry from Alexandria via LeMat-Bulk. Energies are from GGA-PBE.

a = 3.6854 Å, b = 3.6270 Å, c = 17.9229 Å
α = 90.00°, β = 95.90°, γ = 90.00°
Closest atoms and distances in Å follow each position.
Fractional positions:
La: 0.3596 0.0000 0.7191  4 Dy 3.56, 8 La 3.63-3.73
La: 0.0652 0.5000 0.1303  4 Mg 3.48, 8 La 3.63-3.73
La: 0.6404 0.0000 0.2809  4 Dy 3.56, 8 La 3.63-3.73
La: 0.9348 0.5000 0.8697  4 Mg 3.48, 8 La 3.63-3.73
Dy: 0.7909 0.5000 0.5818  6 Dy 3.45-3.69, 4 La 3.56
Dy: 0.2091 0.5000 0.4182  6 Dy 3.45-3.69, 4 La 3.56
Mg: 0.5000 0.0000 0.0000  8 La 3.48, 4 Mg 3.63-3.69

Space group ... Cmmm (65)
Fermi-level density of states ... 9.8 states/eV/f.u.
E_form ... 0.0559 eV/atom

---

(2)
Here is crystalline BaTaB3 at its relaxed geometry from Alexandria via LeMat-Bulk. Energies are from GGA-PBE.

a = 4.4460 Å, b = 4.4460 Å, c = 4.4460 Å
α = 90.00°, β = 90.00°, γ = 90.00°
Closest atoms and distances in Å follow each position.
Fractional positions:
B: 0.0000 0.0000 0.5000  2 Ba 2.22
B: 0.5000 0.0000 0.0000  2 Ba 2.22
B: 0.0000 0.5000 0.0000  2 Ba 2.22
Ba: 0.0000 0.0000 0.0000  6 B 2.22
Ta: 0.5000 0.5000 0.5000  12 B 3.14

Offset from the most stable computed form ... 2523.7 meV/atom
Space group ... Pm-3m (221)
Fermi-level density of states ... 3.8 states/eV/f.u.
E_form ... 3.1424 eV/atom

---

(3)
Here is crystalline Pr5Sm6Y at its relaxed geometry from Alexandria via LeMat-Bulk. Energies are from GGA-PBE.

a = 12.1434 Å, b = 6.3450 Å, c = 6.3435 Å
α = 59.99°, β = 84.99°, γ = 79.95°
Closest atoms and distances in Å follow each position.
Fractional positions:
Sm: 0.2489 0.9179 0.6672  1 Y 3.65, 5 Pr 3.65-3.68, 6 Sm 3.66-3.67
Sm: 0.2489 0.5851 0.3328  1 Y 3.65, 5 Pr 3.65-3.68, 6 Sm 3.66-3.67
Sm: 0.2491 0.2507 0.0000  5 Pr 3.65-3.67, 1 Y 3.66, 6 Sm 3.66-3.67
Sm: 0.7511 0.0821 0.3328  1 Y 3.65, 5 Pr 3.65-3.68, 6 Sm 3.66-3.67
Sm: 0.7511 0.4149 0.6672  1 Y 3.65, 5 Pr 3.65-3.68, 6 Sm 3.66-3.67
Sm: 0.7509 0.7493 0.0000  5 Pr 3.65-3.67, 1 Y 3.66, 6 Sm 3.66-3.67
Pr: 0.5000 0.1666 0.6667  6 Pr 3.66, 6 Sm 3.67-3.68
Pr: 0.0000 0.3334 0.3332  6 Sm 3.65-3.66, 3 Pr 3.66, 3 Y 3.66
Pr: 0.0000 0.6666 0.6668  6 Sm 3.65-3.66, 3 Pr 3.66, 3 Y 3.66
Pr: 0.5000 0.5000 0.0000  6 Pr 3.66, 6 Sm 3.67
Pr: 0.5000 0.8334 0.3333  6 Pr 3.66, 6 Sm 3.67-3.68
Y: 0.0000 0.0000 0.0000  6 Sm 3.65-3.66, 6 Pr 3.66

Space group ... C2/m (12)
Fermi-level density of states ... 17.4 states/eV/f.u.
E_form ... 0.0130 eV/atom

---

(4)
Here is crystalline PrHgBr3 at its relaxed geometry from Alexandria via LeMat-Bulk. Energies are from GGA-PBE.

a = 7.6501 Å, b = 7.6501 Å, c = 11.1093 Å
α = 69.86°, β = 69.86°, γ = 60.00°
Closest atoms and distances in Å follow each position.
Fractional positions:
Br: 0.3229 0.5673 0.1659  2 Pr 2.93-2.94
Br: 0.0561 0.6771 0.8341  2 Pr 2.93-2.94
Br: 0.4327 0.0561 0.8341  2 Pr 2.93-2.94
Br: 0.9439 0.3229 0.1659  2 Pr 2.93-2.94
Br: 0.6771 0.4327 0.8341  2 Pr 2.93-2.94
Br: 0.5673 0.9439 0.1659  2 Pr 2.93-2.94
Pr: 0.6669 0.6669 0.9993  6 Br 2.93-2.94
Pr: 0.3331 0.3331 0.0007  6 Br 2.93-2.94
Hg: 0.1589 0.1589 0.5232  6 Br 4.29-4.36, 3 Hg 4.44
Hg: 0.8411 0.8411 0.4768  6 Br 4.29-4.36, 3 Hg 4.44

Offset from the most stable computed form ... 0.0 meV/atom
Space group ... R-3 (148)
Uncorrected formation energy ... -1.474 eV/atom
Fermi-level density of states ... 0.0 states/eV/f.u.

---

(5)
Here is crystalline Cr4HgP at its relaxed geometry from Alexandria via LeMat-Bulk. Energies are from GGA-PBE.

a = 4.8678 Å, b = 4.8678 Å, c = 4.8678 Å
α = 60.00°, β = 60.00°, γ = 60.00°
Closest atoms and distances in Å follow each position.
Fractional positions:
Cr: 0.3768 0.3768 0.3768  6 Cr 2.40-2.47
Cr: 0.3768 0.8696 0.3768  6 Cr 2.40-2.47
Cr: 0.8696 0.3768 0.3768  6 Cr 2.40-2.47
Cr: 0.3768 0.3768 0.8696  6 Cr 2.40-2.47
P: 0.0000 0.0000 0.0000  12 Cr 2.86, 4 Hg 2.98
Hg: 0.7500 0.7500 0.7500  12 Cr 2.85, 4 P 2.98

Space group ... F-43m (216)
Fermi-level density of states ... 6.4 states/eV/f.u.
E_form ... 0.6242 eV/atom

---

(6)
Here is crystalline UH2Pd8 at its relaxed geometry from Alexandria via LeMat-Bulk. Energies are from GGA-PBE.

a = 4.6956 Å, b = 6.8110 Å, c = 6.8110 Å
α = 47.97°, β = 99.50°, γ = 99.50°
Closest atoms and distances in Å follow each position.
Fractional positions:
Pd: 0.6237 0.1143 0.6123  1 H 2.24
Pd: 0.6237 0.6123 0.1143  1 H 2.24
Pd: 0.8145 0.5714 0.5714  1 H 1.77
Pd: 0.3763 0.3877 0.8857  1 H 2.24
Pd: 0.1855 0.4286 0.4286  1 H 1.77
Pd: 0.3763 0.8857 0.3877  1 H 2.24
Pd: 0.9097 0.2063 0.2063  1 H 1.80
Pd: 0.0903 0.7937 0.7937  1 H 1.80
U: 0.0000 0.0000 0.0000  6 Pd 2.62-2.68
H: 0.2594 0.2942 0.2942  2 Pd 1.77-1.80
H: 0.7406 0.7058 0.7058  2 Pd 1.77-1.80

Space group ... C2/m (12)
Fermi-level density of states ... 6.6 states/eV/f.u.
Total DFT energy (no corrections) ... -5.60 eV/atom

---

(7)
Here is crystalline NaFe2CuI at its relaxed geometry from Alexandria via LeMat-Bulk. Energies are from GGA-PBE.

a = 4.8844 Å, b = 4.7104 Å, c = 4.8844 Å
α = 90.00°, β = 90.00°, γ = 90.00°
Closest atoms and distances in Å follow each position.
Fractional positions:
Fe: 0.5000 0.0000 0.0000  2 Na 2.44
Fe: 0.0000 0.0000 0.5000  2 Na 2.44
Cu: 0.0000 0.5000 0.0000  2 Na 2.36
Na: 0.0000 0.0000 0.0000  2 Cu 2.36, 4 Fe 2.44
I: 0.5000 0.5000 0.5000  8 Fe 3.39, 4 Cu 3.45

Space group ... P4/mmm (123)
Uncorrected formation energy ... 1.634 eV/atom
Fermi-level density of states ... 7.8 states/eV/f.u.

---

(8)
Here is crystalline Rb6BrO2 at its relaxed geometry from Alexandria via LeMat-Bulk. Energies are from GGA-PBE.

a = 5.6260 Å, b = 8.5890 Å, c = 10.2010 Å
α = 102.63°, β = 90.00°, γ = 109.12°
Closest atoms and distances in Å follow each position.
Fractional positions:
O: 0.7599 0.5198 0.8334  3 Rb 2.54-2.76
O: 0.2401 0.4802 0.1666  3 Rb 2.54-2.76
Rb: 0.7468 0.4936 0.0987  3 O 2.76-2.91
Rb: 0.3709 0.7418 0.3615  1 O 2.55
Rb: 0.9077 0.8153 0.7892  1 O 2.54
Rb: 0.6291 0.2582 0.6385  1 O 2.55
Rb: 0.0923 0.1847 0.2108  1 O 2.54
Rb: 0.2532 0.5064 0.9013  3 O 2.76-2.91
Br: 0.0000 0.0000 0.5000  6 Rb 3.60

Offset from the most stable computed form ... 27.1 meV/atom
Space group ... C2/m (12)
Uncorrected formation energy ... -0.967 eV/atom
Fermi-level density of states ... 2.1 states/eV/f.u.

---

(9)
Here is crystalline BaP2Rh at its relaxed geometry from Alexandria via LeMat-Bulk. Energies are from GGA-PBE.

a = 4.6765 Å, b = 4.6765 Å, c = 4.0666 Å
α = 90.00°, β = 90.00°, γ = 104.23°
Closest atoms and distances in Å follow each position.
Fractional positions:
Rh: 0.5000 0.0000 0.5000  2 Ba 2.87, 8 P 3.10
P: 0.0000 0.0000 0.0000  2 P 2.87, 4 Rh 3.10, 4 Ba 3.10
P: 0.5000 0.5000 0.0000  2 P 2.87, 4 Ba 3.10, 4 Rh 3.10
Ba: 0.0000 0.5000 0.5000  2 Rh 2.87, 8 P 3.10

Space group ... Cmmm (65)
Fermi-level density of states ... 2.9 states/eV/f.u.
E_form ... 0.2724 eV/atom

---

(10)
Here is crystalline La2CoS at its relaxed geometry from Alexandria via LeMat-Bulk. Energies are from GGA-PBE.

a = 7.2312 Å, b = 7.2312 Å, c = 6.5221 Å
α = 56.33°, β = 56.33°, γ = 90.00°
Closest atoms and distances in Å follow each position.
Fractional positions:
Co: 0.7500 0.2500 0.5000  4 La 2.62
Co: 0.0000 0.0000 0.0000  4 La 2.62
La: 0.0962 0.6250 0.2500  2 Co 2.62, 2 S 2.89
La: 0.6538 0.1250 0.2500  2 Co 2.62, 2 S 2.89
La: 0.8750 0.9038 0.7500  2 Co 2.62, 2 S 2.89
La: 0.3750 0.3462 0.7500  2 Co 2.62, 2 S 2.89
S: 0.5000 0.5000 0.0000  4 La 2.89
S: 0.2500 0.7500 0.5000  4 La 2.89

Space group ... I-42d (122)
Uncorrected formation energy ... -0.736 eV/atom
Fermi-level density of states ... 3.9 states/eV/f.u.

---

(11)
Here is crystalline AcDy2Y2 at its relaxed geometry from Alexandria via LeMat-Bulk. Energies are from GGA-PBE.

a = 8.9046 Å, b = 8.9046 Å, c = 11.8617 Å
α = 91.77°, β = 91.77°, γ = 156.57°
Closest atoms and distances in Å follow each position.
Fractional positions:
Ac: 0.5000 0.5000 0.0000  4 Y 3.50, 2 Ac 3.62, 4 Dy 3.68
Ac: 0.7500 0.2500 0.5000  4 Y 3.50, 2 Ac 3.62, 4 Dy 3.68
Dy: 0.6250 0.3750 0.2500  2 Y 3.33, 2 Dy 3.62, 2 Ac 3.68
Dy: 0.1250 0.3750 0.7500  2 Y 3.33, 2 Dy 3.62, 2 Ac 3.68
Dy: 0.6250 0.8750 0.2500  2 Y 3.33, 2 Dy 3.62, 2 Ac 3.68
Dy: 0.6250 0.3750 0.7500  2 Y 3.33, 2 Dy 3.62, 2 Ac 3.68
Y: 0.0785 0.9215 0.5000  4 Y 3.28-3.62, 2 Dy 3.33, 2 Ac 3.50
Y: 0.1715 0.8285 0.0000  4 Y 3.28-3.62, 2 Dy 3.33, 2 Ac 3.50
Y: 0.8285 0.1715 0.0000  4 Y 3.28-3.62, 2 Dy 3.33, 2 Ac 3.50
Y: 0.4215 0.5785 0.5000  4 Y 3.28-3.62, 2 Dy 3.33, 2 Ac 3.50

Offset from the most stable computed form ... 344.0 meV/atom
Space group ... Fddd (70)
Fermi-level density of states ... 9.3 states/eV/f.u.
E_form ... 0.4273 eV/atom